This record from Alexandria via LeMat-Bulk describes a geometry-optimized RbBa3B structure. The functional is PBE.

Excess energy over the best structure of this formula in the dataset in meV/atom: 0
ΔH_f (0 K) in meV per atom: 427
N(E_F) in states/eV/cell: 6.82

a = 6.3256 Å, b = 6.3256 Å, c = 6.3256 Å
α = 90.00°, β = 90.00°, γ = 90.00°
Last column: nearest neighbours and their distance in Å.
Fractional coordinates of all 5 atoms:
Ba: 0.5000 0.0000 0.0000  2 B 3.16
Ba: 0.0000 0.5000 0.0000  2 B 3.16
Ba: 0.0000 0.0000 0.5000  2 B 3.16
Rb: 0.5000 0.5000 0.5000  12 Ba 4.47
B: 0.0000 0.0000 0.0000  6 Ba 3.16